Record 1
Compound: PrFeSi2Au
Source: OQMD via LeMat-Bulk
Functional: PBE
Structure: relaxed

CIF file:
```
data_PrFeSi2Au
_chemical_formula_sum 'Pr1 Fe1 Si2 Au1'
_cell_length_a 5.8947
_cell_length_b 5.8947
_cell_length_c 5.8947
_cell_angle_alpha 138.34
_cell_angle_beta 138.34
_cell_angle_gamma 60.38
_space_group_name_H-M_alt 'P 1'
_space_group_IT_number 1
_space_group_name_Hall 'P 1'
loop_
_atom_site_label
_atom_site_fract_x
_atom_site_fract_y
_atom_site_fract_z
Pr1 0.2500 0.7500 0.5000
Si1 0.8698 0.3698 0.5000
Au1 0.0000 0.0000 0.0000
Fe1 0.5000 0.5000 0.0000
Si2 0.6302 0.1302 0.5000
```

## Properties
- crystal system = tetragonal
- total magnetization (μB/atom) = 0.4074
- raw total energy (eV per atom) = -5.99

Record 2
Compound: FeSbPtAu
Source: OQMD via LeMat-Bulk
Functional: PBE
Structure: relaxed

CIF file:
```
data_FeSbPtAu
_chemical_formula_sum 'Fe1 Sb1 Pt1 Au1'
_cell_length_a 4.6027
_cell_length_b 4.6027
_cell_length_c 4.6027
_cell_angle_alpha 60.00
_cell_angle_beta 60.00
_cell_angle_gamma 60.00
_space_group_name_H-M_alt 'P 1'
_space_group_IT_number 1
_space_group_name_Hall 'P 1'
loop_
_atom_site_label
_atom_site_fract_x
_atom_site_fract_y
_atom_site_fract_z
Fe1 0.7500 0.7500 0.7500
Au1 0.5000 0.5000 0.5000
Pt1 0.2500 0.2500 0.2500
Sb1 0.0000 0.0000 0.0000
```

## Properties
- crystal system = cubic
- total magnetization (μB/atom) = 0.6773
- distance to the lowest polymorph of the same formula (eV/f.u.) = 0.00
- raw total energy (eV per atom) = -5.36

Record 3
Compound: PuFeAu
Source: OQMD via LeMat-Bulk
Functional: PBE
Structure: relaxed

CIF file:
```
data_PuFeAu
_chemical_formula_sum 'Pu1 Fe1 Au1'
_cell_length_a 4.3230
_cell_length_b 4.3230
_cell_length_c 4.3230
_cell_angle_alpha 60.00
_cell_angle_beta 60.00
_cell_angle_gamma 60.00
_space_group_name_H-M_alt 'P 1'
_space_group_IT_number 1
_space_group_name_Hall 'P 1'
loop_
_atom_site_label
_atom_site_fract_x
_atom_site_fract_y
_atom_site_fract_z
Au1 0.2500 0.2500 0.2500
Pu1 0.7500 0.7500 0.7500
Fe1 0.0000 0.0000 0.0000
```

## Properties
- crystal system = cubic
- total magnetization (μB/atom) = 1.1064
- raw total energy (eV per atom) = -8.53

Record 4
Compound: RbFeAu
Source: OQMD via LeMat-Bulk
Functional: PBE
Structure: relaxed

CIF file:
```
data_RbFeAu
_chemical_formula_sum 'Rb1 Fe1 Au1'
_cell_length_a 4.9436
_cell_length_b 4.9436
_cell_length_c 4.9436
_cell_angle_alpha 60.00
_cell_angle_beta 60.00
_cell_angle_gamma 60.00
_space_group_name_H-M_alt 'P 1'
_space_group_IT_number 1
_space_group_name_Hall 'P 1'
loop_
_atom_site_label
_atom_site_fract_x
_atom_site_fract_y
_atom_site_fract_z
Fe1 0.0000 0.0000 0.0000
Rb1 0.7500 0.7500 0.7500
Au1 0.2500 0.2500 0.2500
```

## Properties
- crystal system = cubic
- total magnetization (μB/atom) = 1.1223
- distance to the lowest polymorph of the same formula (eV/f.u.) = 0.00
- raw total energy (eV per atom) = -3.27

Repeat the fourth record exactly.
Compound: RbFeAu
Source: OQMD via LeMat-Bulk
Functional: PBE
Structure: relaxed

CIF file:
```
data_RbFeAu
_chemical_formula_sum 'Rb1 Fe1 Au1'
_cell_length_a 4.9436
_cell_length_b 4.9436
_cell_length_c 4.9436
_cell_angle_alpha 60.00
_cell_angle_beta 60.00
_cell_angle_gamma 60.00
_space_group_name_H-M_alt 'P 1'
_space_group_IT_number 1
_space_group_name_Hall 'P 1'
loop_
_atom_site_label
_atom_site_fract_x
_atom_site_fract_y
_atom_site_fract_z
Fe1 0.0000 0.0000 0.0000
Rb1 0.7500 0.7500 0.7500
Au1 0.2500 0.2500 0.2500
```

## Properties
- crystal system = cubic
- total magnetization (μB/atom) = 1.1223
- distance to the lowest polymorph of the same formula (eV/f.u.) = 0.00
- raw total energy (eV per atom) = -3.27